First-principles (PBE) data for a geometry-optimized Rb2GaIO6 structure, as listed in the Alexandria database.

Properties
The total magnetization is 0.0 μB per formula unit. As for the energy: -4.69 eV per atom. For the density of states at the Fermi level, the calculation gives 2.39 states/eV/f.u. The calculation puts the uncorrected formation energy at -10.65 eV/f.u.

Cell: 5.9274 5.9274 28.4444 Å, 90.00 90.00 120.00°
Space group R-3m (No. 166, hexagonal axes)
Symmetry-distinct sites (fractional):
Rb (0.0000, 0.0000, 0.1298) (multiplicity 6)
Rb (0.0000, 0.0000, 0.2801) (multiplicity 6)
Ga (0.0000, 0.0000, 0.4034) (multiplicity 6)
I (0.0000, 0.0000, 0.0000) (multiplicity 3)
I (0.0000, 0.0000, 0.5000) (multiplicity 3)
O (0.0243, 0.5121, 0.7060) (multiplicity 18)
O (0.0466, 0.5233, 0.1240) (multiplicity 18)